# 1
## Ti5FeSn3 (GGA-PBEsol)

Data for a relaxed structure of Ti5FeSn3.

Properties
Total magnetization in μB per formula unit: 0.000
ΔE_f in eV/atom: -0.42

Unit cell a=8.1410 b=8.1410 c=5.3921 alpha=90.00 beta=90.00 gamma=120.00
Fractional coordinates of all 18 atoms:
Ti  0.0000  0.2418  0.2500
Ti  0.0000  0.7582  0.7500
Ti  0.2418  0.0000  0.2500
Ti  0.2418  0.2418  0.7500
Ti  0.3333  0.6667  0.0000
Ti  0.3333  0.6667  0.5000
Ti  0.6667  0.3333  0.0000
Ti  0.6667  0.3333  0.5000
Ti  0.7582  0.0000  0.7500
Ti  0.7582  0.7582  0.2500
Fe  0.0000  0.0000  0.0000
Fe  0.0000  0.0000  0.5000
Sn  0.0000  0.3981  0.7500
Sn  0.0000  0.6019  0.2500
Sn  0.3981  0.0000  0.7500
Sn  0.3981  0.3981  0.2500
Sn  0.6019  0.0000  0.2500
Sn  0.6019  0.6019  0.7500

---

# 2
## Cs2TeMo3O12 (GGA-PBEsol)

Data for a relaxed structure of Cs2TeMo3O12.

Properties
Total magnetization in μB per formula unit: 0.000
Formation energy from raw total energies in kcal/mol of atoms: -44.217

Unit cell a=7.3903 b=7.3903 c=12.0880 alpha=90.00 beta=90.00 gamma=120.00
Fractional coordinates of all 36 atoms:
Cs  0.3333  0.6667  0.0000
Cs  0.3333  0.6667  0.3651
Cs  0.6667  0.3333  0.5000
Cs  0.6667  0.3333  0.8651
Te  0.0000  0.0000  0.4429
Te  0.0000  0.0000  0.9429
Mo  0.1363  0.7983  0.7023
Mo  0.2017  0.3380  0.7023
Mo  0.3380  0.1363  0.2023
Mo  0.6620  0.8637  0.7023
Mo  0.7983  0.6620  0.2023
Mo  0.8637  0.2017  0.2023
O  0.0901  0.5435  0.7391
O  0.1166  0.2609  0.8678
O  0.1240  0.2487  0.1918
O  0.1247  0.8760  0.1918
O  0.1443  0.8834  0.8678
O  0.1820  0.3836  0.5633
O  0.2016  0.8180  0.5633
O  0.2487  0.1247  0.6918
O  0.2609  0.1443  0.3678
O  0.3836  0.2016  0.0633
O  0.4534  0.9099  0.7391
O  0.4565  0.5466  0.7391
O  0.5435  0.4534  0.2391
O  0.5466  0.0901  0.2391
O  0.6164  0.7984  0.5633
O  0.7391  0.8557  0.8678
O  0.7513  0.8753  0.1918
O  0.7984  0.1820  0.0633
O  0.8180  0.6164  0.0633
O  0.8557  0.1166  0.3678
O  0.8753  0.1240  0.6918
O  0.8760  0.7513  0.6918
O  0.8834  0.7391  0.3678
O  0.9099  0.4565  0.2391

---

# 3
## BSbOs2F (GGA-PBEsol)

Data for a relaxed structure of BSbOs2F.

Properties
Total magnetization in μB per formula unit: 3.289
Formation energy from raw total energies in kcal/mol of atoms: 60.441

Unit cell a=4.9175 b=4.9175 c=4.3284 alpha=90.00 beta=90.00 gamma=90.00
Fractional coordinates of all 5 atoms:
B  0.0000  0.0000  0.0000
Sb  0.0000  0.0000  0.5000
Os  0.0000  0.5000  0.5000
Os  0.5000  0.0000  0.5000
F  0.5000  0.5000  0.0000

---

# 4
## Al2BiAuN (GGA-PBEsol)

Data for a relaxed structure of Al2BiAuN.

Properties
Total magnetization in μB per formula unit: 0.000
Formation energy from raw total energies in kcal/mol of atoms: 3.972

Unit cell a=3.9510 b=3.9510 c=5.7432 alpha=90.00 beta=90.00 gamma=90.00
Fractional coordinates of all 5 atoms:
Al  0.0000  0.5000  0.0000
Al  0.5000  0.0000  0.0000
Bi  0.0000  0.0000  0.5000
Au  0.5000  0.5000  0.5000
N  0.5000  0.5000  0.0000

---

# 5
## SiPIrO2 (GGA-PBEsol)

Data for a relaxed structure of SiPIrO2.

Properties
Total magnetization in μB per formula unit: 0.000
Formation energy from raw total energies in kcal/mol of atoms: -17.349

Unit cell a=3.2937 b=3.2937 c=6.9545 alpha=90.00 beta=90.00 gamma=90.00
Fractional coordinates of all 5 atoms:
Si  0.0000  0.0000  0.0000
P  0.0000  0.0000  0.5000
Ir  0.5000  0.5000  0.5000
O  0.0000  0.5000  0.0000
O  0.5000  0.0000  0.0000

---

# 6
## TaBeOs2 (GGA-PBEsol)

Data for a relaxed structure of TaBeOs2.

Properties
Total magnetization in μB per formula unit: 0.000
ΔE_f in eV/atom: -0.06

Unit cell a=4.9262 b=4.9262 c=4.9262 alpha=145.92 beta=125.84 gamma=65.56
Fractional coordinates of all 4 atoms:
Ta  0.0000  0.0000  0.0000
Be  0.5000  0.5000  0.0000
Os  0.2807  0.7807  0.5000
Os  0.7193  0.2193  0.5000

---

# 7
## Mn2BTeRh (GGA-PBEsol)

Data for a relaxed structure of Mn2BTeRh.

Properties
Total magnetization in μB per formula unit: 6.450
Formation energy from raw total energies in kcal/mol of atoms: 2.344

Unit cell a=4.0725 b=4.0725 c=4.1827 alpha=90.00 beta=90.00 gamma=90.00
Fractional coordinates of all 5 atoms:
Mn  0.0000  0.5000  0.0000
Mn  0.5000  0.0000  0.0000
B  0.0000  0.0000  0.0000
Te  0.5000  0.5000  0.5000
Rh  0.0000  0.0000  0.5000

---

# 8
## InHPt3 (GGA-PBEsol)

Data for a relaxed structure of InHPt3.

Properties
Total magnetization in μB per formula unit: 0.000
E in eV per cell: -28.57

Unit cell a=4.0481 b=4.0481 c=4.0481 alpha=90.00 beta=90.00 gamma=90.00
Fractional coordinates of all 5 atoms:
In  0.0000  0.0000  0.0000
H  0.5000  0.5000  0.5000
Pt  0.0000  0.5000  0.5000
Pt  0.5000  0.0000  0.5000
Pt  0.5000  0.5000  0.0000

---

Q: The highest total magnetization belongs to which entry?
A: Mn2BTeRh

---

Q: Among the records above, which one has the highest total magnetization?
A: Mn2BTeRh